The following is a DFT calculation (PBE) of an optimized crystal structure of Cu2AuSe.

Output
**V**: 64.5 Å³ per cell
**Total magnetization**: 0.0 μB per formula unit
**VASP energy**: -3.464 eV per atom
**Space-group type**: F-43m (216)

a = 4.5022 Å, b = 4.5022 Å, c = 4.5022 Å
α = 60.00°, β = 60.00°, γ = 60.00°
Sites, in units of the cell vectors:
Cu 0.0000 0.0000 0.0000
Cu 0.2500 0.2500 0.2500
Au 0.5000 0.5000 0.5000
Se 0.7500 0.7500 0.7500